PuScFeO6 | GGA+U | optimized geometry

The structure in CIF format:
```
data_PuScFeO6
_chemical_formula_sum 'Pu2 Sc2 Fe2 O12'
_space_group_name_H-M_alt 'P 1'
_space_group_IT_number 1
_space_group_name_Hall 'P 1'
_cell_length_a 5.161
_cell_length_b 5.161
_cell_length_c 9.313
_cell_angle_alpha 90.00
_cell_angle_beta 90.00
_cell_angle_gamma 120.00
loop_
_atom_site_label
_atom_site_fract_x
_atom_site_fract_y
_atom_site_fract_z
Pu1 0.333 0.667 0.250
Pu2 0.667 0.333 0.750
Sc1 0.000 0.000 0.000
Sc2 0.000 0.000 0.500
Fe1 0.333 0.667 0.750
Fe2 0.667 0.333 0.250
O1 0.016 0.348 0.634
O2 0.016 0.668 0.866
O3 0.332 0.348 0.866
O4 0.332 0.984 0.634
O5 0.348 0.016 0.134
O6 0.348 0.332 0.366
O7 0.652 0.668 0.634
O8 0.652 0.984 0.866
O9 0.668 0.016 0.366
O10 0.668 0.652 0.134
O11 0.984 0.332 0.134
O12 0.984 0.652 0.366
```

Crystal system ... trigonal
Density of states at the Fermi level ... 0.731 states/eV per atom
E ... -8.49 eV/atom